1.
{"formula": "Sm3Te2Pt", "functional": "PBE", "state": "optimized geometry", "raw_formation_energy_mev_per_atom": -1288, "magnetic_moment_mub_per_cell": 0.00, "lattice_angstrom": [[-2.1101, 3.1386, 6.7476], [2.1101, -3.1386, 6.7476], [2.1101, 3.1386, -6.7476]], "species": ["Sm", "Sm", "Sm", "Te", "Te", "Pt"], "frac_coords": [[0.0000, 0.0000, 0.0000], [0.3596, 0.3596, 0.0000], [0.6404, 0.6404, 0.0000], [0.1766, 0.6766, 0.5000], [0.8234, 0.3234, 0.5000], [0.5000, 0.0000, 0.5000]]}


2.
{"formula": "CePm4Y4", "functional": "PBE", "state": "optimized geometry", "formation_enthalpy_0k_mev_per_atom": 43, "magnetic_moment_mub_per_cell": 1.39, "lattice_angstrom": [[-5.3976, 5.3976, 2.5594], [5.3976, -5.3976, 2.5594], [5.3976, 5.3976, -2.5594]], "species": ["Ce", "Pm", "Pm", "Pm", "Pm", "Y", "Y", "Y", "Y"], "frac_coords": [[0.0000, 0.0000, 0.0000], [0.0000, 0.3310, 0.3310], [0.0000, 0.6690, 0.6690], [0.3310, 0.0000, 0.3310], [0.6690, 0.0000, 0.6690], [0.3353, 0.3353, 0.6705], [0.3353, 0.6647, 0.0000], [0.6647, 0.3353, 0.0000], [0.6647, 0.6647, 0.3295]]}


3.
{"formula": "MgPdS", "functional": "PBE", "state": "optimized geometry", "raw_formation_energy_mev_per_atom": -718, "magnetic_moment_mub_per_cell": 0.00, "lattice_angstrom": [[3.6821, 0.0000, 0.0000], [0.0000, 5.6469, 0.0000], [-2.4470, 0.0000, 5.2275]], "species": ["Mg", "Mg", "Pd", "Pd", "S", "S"], "frac_coords": [[0.0000, 0.1428, 0.0000], [0.0000, 0.8572, 0.5000], [0.4988, 0.5004, 0.2504], [0.4988, 0.4996, 0.7504], [0.4997, 0.1706, 0.5001], [0.4997, 0.8294, 0.0001]]}


4.
{"formula": "TbPr3Er3", "functional": "PBE", "state": "optimized geometry", "formation_enthalpy_0k_mev_per_atom": 262, "magnetic_moment_mub_per_cell": 0.00, "lattice_angstrom": [[4.3800, 2.5288, 7.2205], [-4.3800, 2.5288, 7.2205], [0.0000, -5.0576, 7.2205]], "species": ["Tb", "Tb", "Pr", "Pr", "Pr", "Pr", "Pr", "Pr", "Er", "Er", "Er", "Er", "Er", "Er"], "frac_coords": [[0.1477, 0.1477, 0.1477], [0.8523, 0.8523, 0.8523], [0.2032, 0.6828, 0.4362], [0.3172, 0.5638, 0.7968], [0.4362, 0.2032, 0.6828], [0.5638, 0.7968, 0.3172], [0.6828, 0.4362, 0.2032], [0.7968, 0.3172, 0.5638], [0.0712, 0.5585, 0.2289], [0.2289, 0.0712, 0.5585], [0.4415, 0.7711, 0.9288], [0.5585, 0.2289, 0.0712], [0.7711, 0.9288, 0.4415], [0.9288, 0.4415, 0.7711]]}


5.
{"formula": "TbSm8Tm4", "functional": "PBE", "state": "optimized geometry", "formation_enthalpy_0k_mev_per_atom": 201, "magnetic_moment_mub_per_cell": 0.00, "lattice_angstrom": [[3.6223, 2.0914, 9.4150], [-3.6223, 2.0914, 9.4150], [0.0000, -4.1827, 9.4150]], "species": ["Tb", "Sm", "Sm", "Sm", "Sm", "Sm", "Sm", "Sm", "Sm", "Tm", "Tm", "Tm", "Tm"], "frac_coords": [[0.0000, 0.0000, 0.0000], [0.2513, 0.2513, 0.7042], [0.2513, 0.7042, 0.2513], [0.2860, 0.2860, 0.2860], [0.2958, 0.7487, 0.7487], [0.7042, 0.2513, 0.2513], [0.7140, 0.7140, 0.7140], [0.7487, 0.2958, 0.7487], [0.7487, 0.7487, 0.2958], [0.0000, 0.0000, 0.5000], [0.0000, 0.5000, 0.0000], [0.5000, 0.0000, 0.0000], [0.5000, 0.5000, 0.5000]]}


6.
{"formula": "ScFeH5", "functional": "PBE", "state": "optimized geometry", "total_energy_ev_per_fu": -32.41, "magnetic_moment_mub_per_cell": 0.32, "lattice_angstrom": [[-2.4094, 3.4955, 1.7151], [2.4094, -3.4955, 1.7151], [2.4094, 3.4955, -1.7151]], "species": ["Sc", "Fe", "H", "H", "H", "H", "H"], "frac_coords": [[0.0000, 0.0000, 0.0000], [0.4962, 0.9962, 0.5000], [0.2676, 0.9897, 0.2779], [0.4995, 0.3171, 0.8176], [0.4995, 0.6819, 0.1824], [0.7119, 0.9897, 0.7221], [0.9965, 0.4965, 0.5000]]}


7.
{"formula": "ReAsRu2", "functional": "PBE", "state": "optimized geometry", "formation_enthalpy_0k_mev_per_atom": 200, "magnetic_moment_mub_per_cell": 0.00, "lattice_angstrom": [[1.4144, 0.8166, 8.4174], [-1.4144, 0.8166, 8.4174], [0.0000, -1.6332, 8.4174]], "species": ["Re", "As", "Ru", "Ru"], "frac_coords": [[0.0000, 0.0000, 0.0000], [0.2478, 0.2478, 0.2478], [0.5037, 0.5037, 0.5037], [0.7500, 0.7500, 0.7500]]}


8.
{"formula": "Dy2ZnNi4Ge3", "functional": "PBE", "state": "optimized geometry", "formation_enthalpy_0k_mev_per_atom": -640, "magnetic_moment_mub_per_cell": 0.00, "lattice_angstrom": [[4.0530, 0.0000, 0.0000], [0.0000, 4.0530, 0.0000], [0.0000, 0.0000, 9.7836]], "species": ["Dy", "Dy", "Zn", "Ni", "Ni", "Ni", "Ni", "Ge", "Ge", "Ge"], "frac_coords": [[0.0000, 0.5000, 0.2494], [0.5000, 0.0000, 0.7506], [0.0000, 0.0000, 0.5000], [0.0000, 0.0000, 0.0000], [0.0000, 0.5000, 0.6334], [0.5000, 0.0000, 0.3666], [0.5000, 0.5000, 0.0000], [0.0000, 0.5000, 0.8701], [0.5000, 0.0000, 0.1299], [0.5000, 0.5000, 0.5000]]}


9.
{"formula": "Be2CoPd2", "functional": "PBE", "state": "optimized geometry", "formation_enthalpy_0k_mev_per_atom": -132, "magnetic_moment_mub_per_cell": 3.60, "lattice_angstrom": [[6.7500, 0.0000, 0.0000], [0.0000, 6.7500, 0.0000], [0.0000, 0.0000, 2.6610]], "species": ["Be", "Be", "Be", "Be", "Co", "Co", "Pd", "Pd", "Pd", "Pd"], "frac_coords": [[0.1540, 0.3460, 0.0000], [0.3460, 0.8460, 0.0000], [0.6540, 0.1540, 0.0000], [0.8460, 0.6540, 0.0000], [0.0000, 0.0000, 0.5000], [0.5000, 0.5000, 0.5000], [0.1446, 0.6446, 0.5000], [0.3554, 0.1446, 0.5000], [0.6446, 0.8554, 0.5000], [0.8554, 0.3554, 0.5000]]}


10.
{"formula": "Ce3SnBi3", "functional": "PBE", "state": "optimized geometry", "formation_enthalpy_0k_mev_per_atom": -455, "magnetic_moment_mub_per_cell": 6.30, "lattice_angstrom": [[9.2437, 0.0000, 0.0000], [-4.6219, 8.0053, 0.0000], [0.0000, 0.0000, 6.0128]], "species": ["Ce", "Ce", "Ce", "Ce", "Ce", "Ce", "Sn", "Sn", "Bi", "Bi", "Bi", "Bi", "Bi", "Bi"], "frac_coords": [[0.0925, 0.4321, 0.2500], [0.3396, 0.9075, 0.2500], [0.4321, 0.3396, 0.7500], [0.5679, 0.6604, 0.2500], [0.6604, 0.0925, 0.7500], [0.9075, 0.5679, 0.7500], [0.3333, 0.6667, 0.7500], [0.6667, 0.3333, 0.2500], [0.0537, 0.2813, 0.7500], [0.2276, 0.9463, 0.7500], [0.2813, 0.2276, 0.2500], [0.7187, 0.7724, 0.7500], [0.7724, 0.0537, 0.2500], [0.9463, 0.7187, 0.2500]]}


11.
{"formula": "Pa2PdAu", "functional": "PBE", "state": "optimized geometry", "formation_enthalpy_0k_mev_per_atom": 102, "magnetic_moment_mub_per_cell": 0.54, "lattice_angstrom": [[1.5412, 0.8898, 10.9168], [-1.5412, 0.8898, 10.9168], [0.0000, -1.7796, 10.9168]], "species": ["Pa", "Pa", "Pd", "Au"], "frac_coords": [[0.0917, 0.0917, 0.0917], [0.9083, 0.9083, 0.9083], [0.5000, 0.5000, 0.5000], [0.0000, 0.0000, 0.0000]]}


12.
{"formula": "K2LaTcRu", "functional": "PBE", "state": "optimized geometry", "formation_enthalpy_0k_mev_per_atom": 1561, "magnetic_moment_mub_per_cell": 3.33, "lattice_angstrom": [[6.1545, 0.0000, 0.0000], [0.0000, 6.1545, 0.0000], [0.0000, 0.0000, 4.9752]], "species": ["K", "K", "La", "Tc", "Ru"], "frac_coords": [[0.0000, 0.5000, 0.0000], [0.5000, 0.0000, 0.0000], [0.0000, 0.0000, 0.5000], [0.0000, 0.0000, 0.0000], [0.5000, 0.5000, 0.5000]]}


13.
{"formula": "LaSnAu", "functional": "PBE", "state": "optimized geometry", "formation_enthalpy_0k_mev_per_atom": -759, "magnetic_moment_mub_per_cell": 0.00, "lattice_angstrom": [[2.4115, 1.3923, 8.6804], [-2.4115, 1.3923, 8.6804], [0.0000, -2.7846, 8.6804]], "species": ["La", "La", "Sn", "Sn", "Au", "Au"], "frac_coords": [[0.0000, 0.0000, 0.0000], [0.5000, 0.5000, 0.5000], [0.2495, 0.2495, 0.2495], [0.7505, 0.7505, 0.7505], [0.3871, 0.3871, 0.3871], [0.6129, 0.6129, 0.6129]]}


14.
{"formula": "Pm3GdFe", "functional": "PBE", "state": "optimized geometry", "formation_enthalpy_0k_mev_per_atom": 174, "magnetic_moment_mub_per_cell": 7.86, "lattice_angstrom": [[5.3766, 0.0000, 0.0000], [0.0000, 5.3766, 0.0000], [0.0000, 0.0000, 5.3766]], "species": ["Pm", "Pm", "Pm", "Gd", "Fe"], "frac_coords": [[0.0000, 0.0000, 0.5000], [0.0000, 0.5000, 0.0000], [0.5000, 0.0000, 0.0000], [0.5000, 0.5000, 0.5000], [0.0000, 0.0000, 0.0000]]}


15.
{"formula": "Re2TcBr", "functional": "PBE", "state": "optimized geometry", "raw_formation_energy_mev_per_atom": 797, "magnetic_moment_mub_per_cell": 0.00, "lattice_angstrom": [[2.9159, 0.0000, 0.0000], [0.0000, 2.9159, 0.0000], [0.0000, 0.0000, 7.4106]], "species": ["Re", "Re", "Tc", "Br"], "frac_coords": [[0.0000, 0.0000, 0.2359], [0.0000, 0.0000, 0.7641], [0.5000, 0.5000, 0.0000], [0.5000, 0.5000, 0.5000]]}


16.
{"formula": "Ac6Ir2PdBr3", "functional": "PBE", "state": "optimized geometry", "raw_formation_energy_mev_per_atom": -1180, "magnetic_moment_mub_per_cell": 0.00, "lattice_angstrom": [[3.8024, -6.5875, 0.0000], [3.8024, 6.5875, 0.0000], [-2.5271, 0.0000, 8.2779]], "species": ["Ac", "Ac", "Ac", "Ac", "Ac", "Ac", "Ir", "Ir", "Pd", "Br", "Br", "Br"], "frac_coords": [[0.0922, 0.4352, 0.8049], [0.2217, 0.2217, 0.1950], [0.4352, 0.0922, 0.8049], [0.5648, 0.9078, 0.1951], [0.7783, 0.7783, 0.8050], [0.9078, 0.5648, 0.1951], [0.1666, 0.8334, 0.0000], [0.8334, 0.1666, 0.0000], [0.5000, 0.5000, 0.0000], [0.0000, 0.0000, 0.5000], [0.3313, 0.6687, 0.5000], [0.6687, 0.3313, 0.5000]]}


17.
{"formula": "NaCr2P", "functional": "PBE", "state": "optimized geometry", "formation_enthalpy_0k_mev_per_atom": 651, "magnetic_moment_mub_per_cell": 6.04, "lattice_angstrom": [[-2.1847, 2.1847, 8.3052], [2.1847, -2.1847, 8.3052], [2.1847, 2.1847, -8.3052]], "species": ["Na", "Na", "Cr", "Cr", "Cr", "Cr", "P", "P"], "frac_coords": [[0.3750, 0.6250, 0.7500], [0.6250, 0.3750, 0.2500], [0.0000, 0.0000, 0.0000], [0.0000, 0.0000, 0.5000], [0.0000, 0.5000, 0.0000], [0.5000, 0.0000, 0.5000], [0.1250, 0.8750, 0.2500], [0.8750, 0.1250, 0.7500]]}


18.
{"formula": "SrCa2Cu", "functional": "PBE", "state": "optimized geometry", "formation_enthalpy_0k_mev_per_atom": 15, "magnetic_moment_mub_per_cell": 0.00, "lattice_angstrom": [[-1.9022, 2.9638, 6.1508], [1.9022, -2.9638, 6.1508], [1.9022, 2.9638, -6.1508]], "species": ["Sr", "Ca", "Ca", "Cu"], "frac_coords": [[0.0000, 0.0000, 0.0000], [0.3116, 0.8116, 0.5000], [0.6884, 0.1884, 0.5000], [0.5000, 0.5000, 0.0000]]}


19.
{"formula": "TcMo2Os", "functional": "PBE", "state": "optimized geometry", "formation_enthalpy_0k_mev_per_atom": 212, "magnetic_moment_mub_per_cell": 0.00, "lattice_angstrom": [[3.1266, 0.0000, 0.0000], [0.0000, 3.1266, 0.0000], [0.0000, 0.0000, 6.3074]], "species": ["Tc", "Mo", "Mo", "Os"], "frac_coords": [[0.0000, 0.0000, 0.0000], [0.0000, 0.0000, 0.4814], [0.5000, 0.5000, 0.2145], [0.5000, 0.5000, 0.7103]]}


20.
{"formula": "SrPtNO2", "functional": "PBE", "state": "optimized geometry", "raw_formation_energy_mev_per_atom": 1199, "magnetic_moment_mub_per_cell": 5.01, "lattice_angstrom": [[4.5596, 0.0000, 0.0000], [0.0000, 4.5596, 0.0000], [0.0000, 0.0000, 4.8438]], "species": ["Sr", "Pt", "N", "O", "O"], "frac_coords": [[0.0000, 0.0000, 0.0000], [0.5000, 0.5000, 0.5000], [0.0000, 0.0000, 0.5000], [0.0000, 0.5000, 0.0000], [0.5000, 0.0000, 0.0000]]}


21.
{"formula": "AcAlSnAu", "functional": "PBE", "state": "optimized geometry", "formation_enthalpy_0k_mev_per_atom": -352, "magnetic_moment_mub_per_cell": 0.00, "lattice_angstrom": [[0.0000, 3.7230, 3.7230], [3.7230, 0.0000, 3.7230], [3.7230, 3.7230, 0.0000]], "species": ["Ac", "Al", "Sn", "Au"], "frac_coords": [[0.0000, 0.0000, 0.0000], [0.7500, 0.7500, 0.7500], [0.5000, 0.5000, 0.5000], [0.2500, 0.2500, 0.2500]]}


22.
{"formula": "RuSeI2O", "functional": "PBE", "state": "optimized geometry", "raw_formation_energy_mev_per_atom": 1383, "magnetic_moment_mub_per_cell": 2.04, "lattice_angstrom": [[5.7485, 0.0000, 0.0000], [0.0000, 5.7485, 0.0000], [0.0000, 0.0000, 4.6593]], "species": ["Ru", "Se", "I", "I", "O"], "frac_coords": [[0.0000, 0.0000, 0.0000], [0.0000, 0.0000, 0.5000], [0.0000, 0.5000, 0.5000], [0.5000, 0.0000, 0.5000], [0.5000, 0.5000, 0.0000]]}


23.
{"formula": "V5CoN", "functional": "PBE", "state": "optimized geometry", "raw_formation_energy_mev_per_atom": -339, "magnetic_moment_mub_per_cell": 0.00, "lattice_angstrom": [[4.4178, -2.6170, 0.0000], [4.4178, 2.6170, 0.0000], [-3.5133, 0.0000, 7.3124]], "species": ["V", "V", "V", "V", "V", "V", "V", "V", "V", "V", "Co", "Co", "N", "N"], "frac_coords": [[0.0225, 0.3925, 0.6147], [0.0218, 0.9782, 0.7500], [0.1888, 0.5438, 0.9573], [0.3925, 0.0225, 0.1147], [0.4562, 0.8112, 0.5427], [0.5438, 0.1888, 0.4573], [0.6075, 0.9775, 0.8853], [0.8112, 0.4562, 0.0427], [0.9782, 0.0218, 0.2500], [0.9775, 0.6075, 0.3853], [0.4973, 0.5027, 0.7500], [0.5027, 0.4973, 0.2500], [0.0000, 0.0000, 0.0000], [0.0000, 0.0000, 0.5000]]}


24.
{"formula": "TlAgSe2", "functional": "PBE", "state": "optimized geometry", "raw_formation_energy_mev_per_atom": -123, "magnetic_moment_mub_per_cell": 0.00, "lattice_angstrom": [[4.4286, 0.0000, 0.0000], [-2.2143, 3.8353, 0.0000], [0.0000, 0.0000, 6.9364]], "species": ["Tl", "Ag", "Se", "Se"], "frac_coords": [[0.0000, 0.0000, 0.0000], [0.6667, 0.3333, 0.4286], [0.0000, 0.0000, 0.3869], [0.3333, 0.6667, 0.8338]]}


25.
{"formula": "Na4Zn4Au", "functional": "PBE", "state": "optimized geometry", "formation_enthalpy_0k_mev_per_atom": -27, "magnetic_moment_mub_per_cell": 0.00, "lattice_angstrom": [[8.3462, 0.0000, 0.0000], [0.0000, 8.3462, 0.0000], [0.0000, 0.0000, 5.8233]], "species": ["Na", "Na", "Na", "Na", "Na", "Na", "Na", "Na", "Zn", "Zn", "Zn", "Zn", "Zn", "Zn", "Zn", "Zn", "Au", "Au"], "frac_coords": [[0.0746, 0.8313, 0.1067], [0.1687, 0.5746, 0.6067], [0.3313, 0.9254, 0.6067], [0.4254, 0.6687, 0.1067], [0.5746, 0.3313, 0.8933], [0.6687, 0.0746, 0.3933], [0.8313, 0.4254, 0.3933], [0.9254, 0.1687, 0.8933], [0.0828, 0.1491, 0.3899], [0.1491, 0.4172, 0.1101], [0.3509, 0.0828, 0.1101], [0.4172, 0.3509, 0.3899], [0.5828, 0.6491, 0.6101], [0.6491, 0.9172, 0.8899], [0.8509, 0.5828, 0.8899], [0.9172, 0.8509, 0.6101], [0.2500, 0.2500, 0.7500], [0.7500, 0.7500, 0.2500]]}